20
Lattice="-1.6409 2.2112 -5.0050 -7.7348 -8.6855 -1.3014 -4.0827 3.2219 2.7620" Properties=species:S:1:pos:R:3 comment="GGA+U KMoO3, relaxed" magmom_total_mub_per_atom=0.200 sg="Imma (74)" total_energy_ev_per_cell=-127.85 pbc="T T T"
K -0.8205 1.1056 -2.5025
K -5.9087 -2.7318 0.7303
K -2.0413 1.6110 1.3810
K -4.6879 -3.2371 -3.1532
O -10.9258 -3.3736 -2.7983
O -8.4413 -2.6106 -0.0157
O -5.0171 -0.6418 -3.5287
O -4.1967 -1.7474 -1.0261
O -5.4534 1.0644 -1.0019
O -5.3586 0.5315 1.9915
O -8.0050 -4.3167 -2.5425
O -10.1054 -4.4792 -0.2957
O -3.3530 1.2269 -3.2487
O -9.2617 -1.5050 -2.5183
O -2.5326 0.1213 -0.7461
O -8.0998 -3.7838 -5.5359
Mo -9.2093 -3.3663 -1.7278
Mo -10.9783 -1.5122 -3.5887
Mo -2.4802 -1.7401 0.0443
Mo -4.2491 0.1140 -1.8166